[1]
## CrIr2Au (GGA-PBE)

Data for a relaxed CrIr2Au crystal.

- E: -7.45 eV/atom
- Calculated density: 17.8 g cm⁻³
- N(E_F): 1.718 states/eV/atom
- Space group: R3m (160)
- Distance to the lowest polymorph of the same formula: 0.710 eV/f.u.
- Formation enthalpy at 0 K: 19.4 kJ per mole of atoms

Geometry as POSCAR:
```
CrIr2Au
1.0
1.3716 0.7919 9.0790
-1.3716 0.7919 9.0790
0.0000 -1.5838 9.0790
Cr Ir Au
1 2 1
Direct
0.0000 0.0000 0.0000
0.2602 0.2602 0.2602
0.5086 0.5086 0.5086
0.7513 0.7513 0.7513
```

[2]
## La3Ga2Ni3 (GGA-PBE)

Data for a relaxed La3Ga2Ni3 crystal.

- E: -5.26 eV/atom
- Calculated density: 7.3 g cm⁻³
- N(E_F): 0.838 states/eV/atom
- Space group: Cmcm (63)
- Formation enthalpy at 0 K: -47.2 kJ per mole of atoms

Geometry as POSCAR:
```
La3Ga2Ni3
1.0
2.1245 -5.7354 0.0000
2.1245 5.7354 0.0000
0.0000 0.0000 13.7493
La Ga Ni
6 4 6
Direct
0.0758 0.9242 0.6116
0.0758 0.9242 0.8884
0.3556 0.6444 0.7500
0.6444 0.3556 0.2500
0.9242 0.0758 0.1116
0.9242 0.0758 0.3884
0.2170 0.7830 0.0804
0.2170 0.7830 0.4196
0.7830 0.2170 0.5804
0.7830 0.2170 0.9196
0.3137 0.6863 0.2500
0.3937 0.6063 0.5369
0.3937 0.6063 0.9631
0.6063 0.3937 0.0369
0.6063 0.3937 0.4631
0.6863 0.3137 0.7500
```